No. 1
K4Os5 | PBE-GGA | relaxed

Summary:
* DOS at the Fermi energy: 9.52 states/eV/cell
* formation energy from the elements: 1.6182 eV per atom
* SG: I4/mmm, No. 139
* V: 180.2 Å³/cell

Geometry as CIF:
```
data_K4Os5
_space_group_name_H-M_alt 'P 1'
_space_group_IT_number 1
_cell_length_a 8.2690
_cell_length_b 8.2690
_cell_length_c 8.2690
_cell_angle_alpha 91.54
_cell_angle_beta 91.54
_cell_angle_gamma 161.15
loop_
_space_group_symop_operation_xyz
'x,y,z'
loop_
_atom_site_label
_atom_site_fract_x
_atom_site_fract_y
_atom_site_fract_z
K1 0.3244 0.0000 0.3244
Os1 0.6826 0.6826 0.3652
Os2 0.3174 0.6826 0.0000
K2 0.6756 0.0000 0.6756
Os3 0.3174 0.3174 0.6348
K3 0.0000 0.6756 0.6756
K4 0.0000 0.3244 0.3244
Os4 0.0000 0.0000 0.0000
Os5 0.6826 0.3174 0.0000
```



No. 2
KOs3 | PBE-GGA | relaxed

Summary:
* DOS at the Fermi energy: 5.69 states/eV/cell
* ΔE to the lowest computed polymorph: 0.9489 eV/atom
* formation energy from the elements: 1.7345 eV per atom
* SG: Fm-3m, No. 225
* V: 65.0 Å³/cell

Geometry as CIF:
```
data_KOs3
_space_group_name_H-M_alt 'P 1'
_space_group_IT_number 1
_cell_length_a 4.5136
_cell_length_b 4.5136
_cell_length_c 4.5136
_cell_angle_alpha 60.00
_cell_angle_beta 60.00
_cell_angle_gamma 60.00
loop_
_space_group_symop_operation_xyz
'x,y,z'
loop_
_atom_site_label
_atom_site_fract_x
_atom_site_fract_y
_atom_site_fract_z
Os1 0.5000 0.5000 0.5000
Os2 0.7500 0.7500 0.7500
Os3 0.2500 0.2500 0.2500
K1 0.0000 0.0000 0.0000
```



No. 3
K5Os | PBE-GGA | relaxed

Summary:
* DOS at the Fermi energy: 6.05 states/eV/cell
* ΔE to the lowest computed polymorph: 0.0533 eV/atom
* formation energy from the elements: 0.9217 eV per atom
* SG: Amm2, No. 38
* V: 276.1 Å³/cell

Geometry as CIF:
```
data_K5Os
_space_group_name_H-M_alt 'P 1'
_space_group_IT_number 1
_cell_length_a 12.2250
_cell_length_b 12.2250
_cell_length_c 6.1819
_cell_angle_alpha 90.00
_cell_angle_beta 90.00
_cell_angle_gamma 162.61
loop_
_space_group_symop_operation_xyz
'x,y,z'
loop_
_atom_site_label
_atom_site_fract_x
_atom_site_fract_y
_atom_site_fract_z
K1 0.7222 0.2778 0.5000
Os1 0.1018 0.8982 0.5000
K2 0.4827 0.5173 0.5000
K3 0.3459 0.6541 0.0000
K4 0.0285 0.9715 0.0000
K5 0.6522 0.3478 0.0000
```



No. 4
KOs3 | PBE-GGA | relaxed

Summary:
* DOS at the Fermi energy: 4.89 states/eV/cell
* ΔE to the lowest computed polymorph: 0.2657 eV/atom
* formation energy from the elements: 1.0513 eV per atom
* SG: Cmmm, No. 65
* V: 68.0 Å³/cell

Geometry as CIF:
```
data_KOs3
_space_group_name_H-M_alt 'P 1'
_space_group_IT_number 1
_cell_length_a 2.7109
_cell_length_b 2.7109
_cell_length_c 10.4217
_cell_angle_alpha 90.00
_cell_angle_beta 90.00
_cell_angle_gamma 117.46
loop_
_space_group_symop_operation_xyz
'x,y,z'
loop_
_atom_site_label
_atom_site_fract_x
_atom_site_fract_y
_atom_site_fract_z
Os1 0.5000 0.5000 0.7181
K1 0.0000 0.0000 0.0000
Os2 0.0000 0.0000 0.5000
Os3 0.5000 0.5000 0.2819
```



- Look up the V of the first one.
  180.2 Å³/cell